Model A:
Compound: AgRu2W
Source: Alexandria via LeMat-Bulk
Functional: PBE
Structure: optimized geometry

Cell and atoms, written as POSCAR:
```
AgRu2W
1.0
4.002 0.000 0.000
0.000 2.767 0.005
0.000 2.759 5.558
Ag Ru W
1 2 1
Direct
0.500 0.745 0.755 Ag
0.000 0.976 0.023 Ru
0.500 0.250 0.249 Ru
0.000 0.528 0.473 W
```

Model B:
Compound: AgRu2W
Source: Alexandria via LeMat-Bulk
Functional: PBE
Structure: optimized geometry

Cell and atoms, written as POSCAR:
```
AgRu2W
1.0
4.895 0.000 0.003
4.110 2.659 0.003
0.834 0.246 4.705
Ag Ru W
1 2 1
Direct
0.253 0.253 0.244 Ag
0.012 0.012 0.986 Ru
0.742 0.742 0.749 Ru
0.493 0.493 0.520 W
```

The structure shown above that is least stable: model B.